No. 1
! YW3S, optimized geometry, DFT PBE; values from VASP
! - energy above the most stable polymorph in this dataset (meV per atom) = 2819
! - formation energy without anion corrections (eV/atom) = 3.377
! - symmetry = Pm-3m, No. 221
&SYSTEM
  ibrav = 0, nat = 5, ntyp = 3
/
ATOMIC_SPECIES
W 183.84 W.upf
Y 88.91 Y.upf
S 32.06 S.upf
ATOMIC_POSITIONS angstrom
W 0.000 0.000 2.441
W 0.000 2.441 0.000
W 2.441 0.000 0.000
Y 0.000 0.000 0.000
S 2.441 2.441 2.441
CELL_PARAMETERS angstrom
4.882 0.000 0.000
0.000 4.882 0.000
0.000 0.000 4.882

No. 2
! CuIr3, optimized geometry, DFT PBE; values from VASP
! - symmetry = Pnma, No. 62
! - E (eV/atom) = -7.57
&SYSTEM
  ibrav = 0, nat = 16, ntyp = 2
/
ATOMIC_SPECIES
Ir 192.22 Ir.upf
Cu 63.55 Cu.upf
ATOMIC_POSITIONS angstrom
Ir 1.193 4.433 2.065
Ir 3.516 4.387 3.369
Ir 3.516 0.023 3.369
Ir 0.366 6.615 0.726
Ir 1.193 8.798 2.065
Ir 4.343 2.205 4.708
Ir 1.988 2.205 3.444
Ir 2.721 6.615 1.991
Ir 3.547 4.433 0.652
Ir 1.162 4.387 4.782
Ir 3.547 8.798 0.652
Ir 1.162 0.023 4.782
Cu 4.321 2.205 1.967
Cu 1.966 2.205 0.750
Cu 2.743 6.615 4.684
Cu 0.389 6.615 3.467
CELL_PARAMETERS angstrom
4.709 0.000 0.000
0.000 8.820 0.000
0.000 0.000 5.434

No. 3
! La2CrFe, optimized geometry, DFT PBE; values from VASP
! - energy above the most stable polymorph in this dataset (meV per atom) = 243
! - symmetry = I-42d, No. 122
&SYSTEM
  ibrav = 0, nat = 8, ntyp = 3
/
ATOMIC_SPECIES
Cr 52.00 Cr.upf
Fe 55.84 Fe.upf
La 138.91 La.upf
ATOMIC_POSITIONS angstrom
Cr 3.961 7.923 1.542
Cr 3.961 3.961 0.000
Fe 0.000 0.000 0.000
Fe 7.923 3.961 1.542
La 5.942 5.463 2.313
La 9.903 10.382 2.313
La 1.502 5.942 0.771
La 6.421 1.981 0.771
CELL_PARAMETERS angstrom
7.923 0.000 0.000
0.000 7.923 0.000
3.961 3.961 3.084

No. 4
! CeHgBi3, optimized geometry, DFT PBE; values from VASP
! - symmetry = Cmcm, No. 63
! - E (eV/atom) = -3.71
&SYSTEM
  ibrav = 0, nat = 10, ntyp = 3
/
ATOMIC_SPECIES
Hg 200.59 Hg.upf
Bi 208.98 Bi.upf
Ce 140.12 Ce.upf
ATOMIC_POSITIONS angstrom
Hg 4.484 -3.262 0.525
Hg -2.262 -5.920 1.646
Bi 1.873 -3.749 2.350
Bi 5.695 -5.052 2.916
Bi -3.473 -4.130 -0.744
Bi 0.000 0.000 0.000
Bi 0.349 -5.433 -0.179
Bi -0.625 -2.510 -1.563
Ce -1.129 -2.584 1.679
Ce 3.351 -6.598 0.492
CELL_PARAMETERS angstrom
-1.249 -5.020 -3.126
9.970 -3.399 1.475
-6.499 -0.763 3.822

No. 5
! PmBePd2, optimized geometry, DFT PBE; values from VASP
! - energy above the most stable polymorph in this dataset (meV per atom) = 0
! - symmetry = Cmmm, No. 65
&SYSTEM
  ibrav = 0, nat = 8, ntyp = 3
/
ATOMIC_SPECIES
Be 9.01 Be.upf
Pm 145.00 Pm.upf
Pd 106.42 Pd.upf
ATOMIC_POSITIONS angstrom
Be 1.995 2.299 0.658
Be 1.995 1.776 7.274
Pm 0.000 3.480 5.495
Pm 0.000 0.595 2.437
Pd 1.995 0.000 0.000
Pd 0.000 2.018 -0.493
Pd 1.995 1.238 5.071
Pd 1.995 2.837 2.861
CELL_PARAMETERS angstrom
3.991 0.000 0.000
0.000 4.037 -0.985
0.000 0.038 8.917

No. 6
! LiMgTl2In, optimized geometry, DFT PBE; values from VASP
! - symmetry = Cmcm, No. 63
! - E (eV/atom) = -2.13
&SYSTEM
  ibrav = 0, nat = 10, ntyp = 4
/
ATOMIC_SPECIES
Tl 204.38 Tl.upf
Li 6.94 Li.upf
In 114.82 In.upf
Mg 24.30 Mg.upf
ATOMIC_POSITIONS angstrom
Tl 0.000 1.530 0.000
Tl 3.075 1.530 0.000
Tl 0.000 4.637 0.000
Tl 3.075 4.637 0.000
Li 4.613 0.000 2.057
Li 1.538 3.083 5.023
In 4.613 3.083 3.602
In 1.538 0.000 3.478
Mg 1.538 3.083 2.265
Mg 4.613 0.000 4.814
CELL_PARAMETERS angstrom
6.150 0.000 0.000
0.000 6.166 0.000
0.000 -3.083 7.079

| no. | M_tot (μB per atom) |
| --- | --- |
| 1 | 0.000 |
| 2 | 0.000 |
| 3 | 1.024 |
| 4 | 0.147 |
| 5 | 0.000 |
| 6 | 0.000 |